A geometry-optimized YMg2CdO structure. Source: Alexandria, functional PBE-GGA.

a b c (Å): 4.4949 4.4949 4.6816
angles (deg): 90.00 90.00 90.00
Fractional coordinates of all 5 atoms:
Y  0.0000  0.0000  0.5000
Mg  0.0000  0.5000  0.0000
Mg  0.5000  0.0000  0.0000
O  0.0000  0.0000  0.0000
Cd  0.5000  0.5000  0.5000

Calculated values
E_tot, eV per cell: -20.97
DOS at the Fermi energy, states/eV/cell: 2.1
ΔE_f (raw), eV/atom: -1.09